one | VASP calculation (PBE) on In2TcOs after structural relaxation.

Values from the calculation:
- N(E_F) (states/eV/f.u.) = 4.629

a b c (Å): 7.5270 7.5270 5.4835
angles (deg): 90.00 90.00 90.00
Sites, in units of the cell vectors:
In (0.2413, 0.2500, 0.1250)
In (0.2500, 0.7413, 0.3750)
In (0.2500, 0.7587, 0.8750)
In (0.2587, 0.2500, 0.6250)
In (0.7413, 0.7500, 0.6250)
In (0.7500, 0.2413, 0.8750)
In (0.7500, 0.2587, 0.3750)
In (0.7587, 0.7500, 0.1250)
Tc (0.0000, 0.0000, 0.5000)
Tc (0.0000, 0.5000, 0.7500)
Tc (0.5000, 0.0000, 0.2500)
Tc (0.5000, 0.5000, 0.0000)
Os (0.0000, 0.0000, 0.0000)
Os (0.0000, 0.5000, 0.2500)
Os (0.5000, 0.0000, 0.7500)
Os (0.5000, 0.5000, 0.5000)

---

two | VASP calculation (PBE) on In2TcOs after structural relaxation.

Values from the calculation:
- N(E_F) (states/eV/f.u.) = 3.817

a b c (Å): 2.9258 4.6713 10.9010
angles (deg): 90.00 90.00 90.00
Sites, in units of the cell vectors:
In (0.0000, 0.0000, 0.0000)
In (0.0000, 0.5000, 0.1956)
In (0.5000, 0.0000, 0.6956)
In (0.5000, 0.5000, 0.5000)
Tc (0.0000, 0.0000, 0.4415)
Tc (0.5000, 0.5000, 0.9415)
Os (0.0000, 0.5000, 0.7499)
Os (0.5000, 0.0000, 0.2499)

---

three | VASP calculation (PBE) on In2TcOs after structural relaxation.

Values from the calculation:
- N(E_F) (states/eV/f.u.) = 3.176

a b c (Å): 2.9383 2.9765 16.9702
angles (deg): 90.00 90.00 90.00
Sites, in units of the cell vectors:
In (0.0000, 0.0000, 0.0000)
In (0.0000, 0.5000, 0.5000)
In (0.5000, 0.0000, 0.1664)
In (0.5000, 0.5000, 0.6664)
Tc (0.0000, 0.0000, 0.7874)
Tc (0.0000, 0.5000, 0.2874)
Os (0.5000, 0.0000, 0.3796)
Os (0.5000, 0.5000, 0.8796)

---

four | VASP calculation (PBE) on In2TcOs after structural relaxation.

Values from the calculation:
- N(E_F) (states/eV/f.u.) = 4.483

a b c (Å): 3.2412 3.2412 6.6082
angles (deg): 90.00 90.00 90.00
Sites, in units of the cell vectors:
In (0.0000, 0.0000, 0.2444)
In (0.0000, 0.0000, 0.7556)
Tc (0.5000, 0.5000, 0.5000)
Os (0.5000, 0.5000, 0.0000)

---

Which of them is most stable, and which least? Most stable: three; least stable: one.

---

one | VASP calculation (PBE) on In2TcOs after structural relaxation.

Values from the calculation:
- N(E_F) (states/eV/f.u.) = 4.580

a b c (Å): 4.1170 4.1170 8.2152
angles (deg): 90.00 90.00 90.00
Sites, in units of the cell vectors:
In (0.0000, 0.0000, 0.0000)
In (0.0000, 0.5000, 0.2500)
In (0.5000, 0.0000, 0.7500)
In (0.5000, 0.5000, 0.5000)
Tc (0.0000, 0.0000, 0.5000)
Tc (0.5000, 0.5000, 0.0000)
Os (0.0000, 0.5000, 0.7500)
Os (0.5000, 0.0000, 0.2500)

---

two | VASP calculation (PBE) on In2TcOs after structural relaxation.

Values from the calculation:
- N(E_F) (states/eV/f.u.) = 4.235

a b c (Å): 3.0051 3.0051 26.8953
angles (deg): 90.00 90.00 120.00
Sites, in units of the cell vectors:
In (0.0000, 0.0000, 0.2503)
In (0.0000, 0.0000, 0.7497)
In (0.3333, 0.6667, 0.4163)
In (0.3333, 0.6667, 0.9170)
In (0.6667, 0.3333, 0.0830)
In (0.6667, 0.3333, 0.5837)
Tc (0.0000, 0.0000, 0.5000)
Tc (0.3333, 0.6667, 0.1667)
Tc (0.6667, 0.3333, 0.8333)
Os (0.0000, 0.0000, 0.0000)
Os (0.3333, 0.6667, 0.6667)
Os (0.6667, 0.3333, 0.3333)

---

three | VASP calculation (PBE) on In2TcOs after structural relaxation.

Values from the calculation:
- N(E_F) (states/eV/f.u.) = 4.385

a b c (Å): 3.1230 4.9933 9.0870
angles (deg): 90.00 90.00 90.00
Sites, in units of the cell vectors:
In (0.0000, 0.0000, 0.2492)
In (0.0000, 0.0000, 0.7508)
In (0.5000, 0.5000, 0.2492)
In (0.5000, 0.5000, 0.7508)
Tc (0.0000, 0.5000, 0.5000)
Tc (0.5000, 0.0000, 0.5000)
Os (0.0000, 0.5000, 0.0000)
Os (0.5000, 0.0000, 0.0000)

---

Which of them is most stable, and which least? Most stable: two; least stable: three.

---

one | VASP calculation (PBE) on In2TcOs after structural relaxation.

Values from the calculation:
- N(E_F) (states/eV/f.u.) = 2.125

a b c (Å): 2.9887 2.9887 28.1794
angles (deg): 90.00 90.00 120.00
Sites, in units of the cell vectors:
In (0.0000, 0.0000, 0.0000)
In (0.0000, 0.0000, 0.2364)
In (0.3333, 0.6667, 0.6667)
In (0.3333, 0.6667, 0.9031)
In (0.6667, 0.3333, 0.3333)
In (0.6667, 0.3333, 0.5697)
Tc (0.0000, 0.0000, 0.7505)
Tc (0.3333, 0.6667, 0.4172)
Tc (0.6667, 0.3333, 0.0838)
Os (0.0000, 0.0000, 0.4859)
Os (0.3333, 0.6667, 0.1526)
Os (0.6667, 0.3333, 0.8192)

---

two | VASP calculation (PBE) on In2TcOs after structural relaxation.

Values from the calculation:
- N(E_F) (states/eV/f.u.) = 4.386

a b c (Å): 9.0674 2.9973 5.2527
angles (deg): 90.00 100.82 90.00
Sites, in units of the cell vectors:
In (0.2489, 0.0000, 0.2479)
In (0.2511, 0.5000, 0.7521)
In (0.7489, 0.5000, 0.2479)
In (0.7511, 0.0000, 0.7521)
Tc (0.0000, 0.0000, 0.5000)
Tc (0.5000, 0.5000, 0.5000)
Os (0.0000, 0.5000, 0.0000)
Os (0.5000, 0.0000, 0.0000)

---

Which of them is most stable, and which least? Most stable: one; least stable: two.

---

one | VASP calculation (PBE) on Tl2InOs after structural relaxation.

Values from the calculation:
- N(E_F) (states/eV/f.u.) = 3.412

a b c (Å): 3.2324 3.2324 9.0156
angles (deg): 90.00 90.00 90.00
Sites, in units of the cell vectors:
Tl (0.0000, 0.0000, 0.0000)
Tl (0.5000, 0.5000, 0.3168)
In (0.0000, 0.0000, 0.6138)
Os (0.5000, 0.5000, 0.7908)

---

two | VASP calculation (PBE) on Tl2InOs after structural relaxation.

Values from the calculation:
- N(E_F) (states/eV/f.u.) = 3.044

a b c (Å): 3.4239 5.1881 10.6540
angles (deg): 90.00 90.00 90.00
Sites, in units of the cell vectors:
Tl (0.0000, 0.0000, 0.0000)
Tl (0.0000, 0.5000, 0.3063)
Tl (0.5000, 0.0000, 0.3063)
Tl (0.5000, 0.5000, 0.0000)
In (0.0000, 0.0000, 0.5843)
In (0.5000, 0.5000, 0.5843)
Os (0.0000, 0.5000, 0.7827)
Os (0.5000, 0.0000, 0.7827)

---

Which of them is most stable, and which least? Most stable: one; least stable: two.

---

one | VASP calculation (PBE) on Tl2InOs after structural relaxation.

Values from the calculation:
- N(E_F) (states/eV/f.u.) = 2.484

a b c (Å): 7.1038 7.1038 7.1038
angles (deg): 90.00 90.00 90.00
Sites, in units of the cell vectors:
Tl (0.0000, 0.0000, 0.0000)
Tl (0.0000, 0.5000, 0.5000)
Tl (0.2500, 0.2500, 0.2500)
Tl (0.2500, 0.7500, 0.7500)
Tl (0.5000, 0.0000, 0.5000)
Tl (0.5000, 0.5000, 0.0000)
Tl (0.7500, 0.2500, 0.7500)
Tl (0.7500, 0.7500, 0.2500)
In (0.0000, 0.0000, 0.5000)
In (0.0000, 0.5000, 0.0000)
In (0.5000, 0.0000, 0.0000)
In (0.5000, 0.5000, 0.5000)
Os (0.2500, 0.2500, 0.7500)
Os (0.2500, 0.7500, 0.2500)
Os (0.7500, 0.2500, 0.2500)
Os (0.7500, 0.7500, 0.7500)

---

two | VASP calculation (PBE) on Tl2InOs after structural relaxation.

Values from the calculation:
- N(E_F) (states/eV/f.u.) = 3.122

a b c (Å): 3.1589 3.1589 32.2169
angles (deg): 90.00 90.00 120.00
Sites, in units of the cell vectors:
Tl (0.0000, 0.0000, 0.2383)
Tl (0.0000, 0.0000, 0.7617)
Tl (0.3333, 0.6667, 0.4283)
Tl (0.3333, 0.6667, 0.9050)
Tl (0.6667, 0.3333, 0.0950)
Tl (0.6667, 0.3333, 0.5717)
In (0.0000, 0.0000, 0.0000)
In (0.3333, 0.6667, 0.6667)
In (0.6667, 0.3333, 0.3333)
Os (0.0000, 0.0000, 0.5000)
Os (0.3333, 0.6667, 0.1667)
Os (0.6667, 0.3333, 0.8333)

---

three | VASP calculation (PBE) on Tl2InOs after structural relaxation.

Values from the calculation:
- N(E_F) (states/eV/f.u.) = 3.141

a b c (Å): 6.0714 10.2526 3.4312
angles (deg): 90.00 123.80 90.00
Sites, in units of the cell vectors:
Tl (0.2500, 0.2500, 0.0000)
Tl (0.2500, 0.7500, 0.0000)
Tl (0.7500, 0.2500, 0.0000)
Tl (0.7500, 0.7500, 0.0000)
In (0.0000, 0.0000, 0.5000)
In (0.5000, 0.5000, 0.5000)
Os (0.0000, 0.5000, 0.5000)
Os (0.5000, 0.0000, 0.5000)

---

four | VASP calculation (PBE) on Tl2InOs after structural relaxation.

Values from the calculation:
- N(E_F) (states/eV/f.u.) = 1.874

a b c (Å): 3.9493 3.5166 14.3998
angles (deg): 90.00 90.00 90.00
Sites, in units of the cell vectors:
Tl (0.0000, 0.0000, 0.0000)
Tl (0.0000, 0.5000, 0.5000)
Tl (0.5000, 0.0000, 0.3488)
Tl (0.5000, 0.5000, 0.8488)
In (0.5000, 0.0000, 0.6586)
In (0.5000, 0.5000, 0.1586)
Os (0.0000, 0.0000, 0.1976)
Os (0.0000, 0.5000, 0.6976)

---

Which of them is most stable, and which least? Most stable: four; least stable: one.

---

one | VASP calculation (PBE) on Tl2InOs after structural relaxation.

Values from the calculation:
- N(E_F) (states/eV/f.u.) = 2.870

a b c (Å): 3.1938 3.1938 9.1387
angles (deg): 90.00 90.00 90.00
Sites, in units of the cell vectors:
Tl (0.0000, 0.0000, 0.2024)
Tl (0.0000, 0.0000, 0.7976)
In (0.5000, 0.5000, 0.5000)
Os (0.5000, 0.5000, 0.0000)

---

two | VASP calculation (PBE) on Tl2InOs after structural relaxation.

Values from the calculation:
- N(E_F) (states/eV/f.u.) = 2.999

a b c (Å): 5.9726 8.4228 3.4629
angles (deg): 90.00 90.00 90.00
Sites, in units of the cell vectors:
Tl (0.2500, 0.2500, 0.0000)
Tl (0.2500, 0.7500, 0.0000)
Tl (0.7500, 0.2500, 0.0000)
Tl (0.7500, 0.7500, 0.0000)
In (0.0000, 0.0000, 0.5000)
In (0.5000, 0.5000, 0.5000)
Os (0.0000, 0.5000, 0.5000)
Os (0.5000, 0.0000, 0.5000)

---

Which of them is most stable, and which least? Most stable: one; least stable: two.

---

one | VASP calculation (PBE) on Tl2InOs after structural relaxation.

Values from the calculation:
- N(E_F) (states/eV/f.u.) = 2.135

a b c (Å): 15.1257 3.0730 4.5768
angles (deg): 90.00 107.56 90.00
Sites, in units of the cell vectors:
Tl (0.1775, 0.0000, 0.1774)
Tl (0.3225, 0.5000, 0.8226)
Tl (0.6775, 0.5000, 0.1774)
Tl (0.8225, 0.0000, 0.8226)
In (0.0000, 0.0000, 0.5000)
In (0.5000, 0.5000, 0.5000)
Os (0.0000, 0.5000, 0.0000)
Os (0.5000, 0.0000, 0.0000)

---

two | VASP calculation (PBE) on Tl2InOs after structural relaxation.

Values from the calculation:
- N(E_F) (states/eV/f.u.) = 4.475

a b c (Å): 4.4307 4.4307 4.4531
angles (deg): 90.00 90.00 90.00
Sites, in units of the cell vectors:
Tl (0.0000, 0.5000, 0.0000)
Tl (0.5000, 0.0000, 0.0000)
In (0.0000, 0.0000, 0.5000)
Os (0.5000, 0.5000, 0.5000)

---

Which of them is most stable, and which least? Most stable: one; least stable: two.

---

one | VASP calculation (PBE) on Tl2InOs after structural relaxation.

Values from the calculation:
- N(E_F) (states/eV/f.u.) = 3.016

a b c (Å): 3.2776 5.2956 10.8024
angles (deg): 90.00 90.00 90.00
Sites, in units of the cell vectors:
Tl (0.0000, 0.0000, 0.2159)
Tl (0.0000, 0.0000, 0.7841)
Tl (0.5000, 0.5000, 0.2159)
Tl (0.5000, 0.5000, 0.7841)
In (0.0000, 0.5000, 0.5000)
In (0.5000, 0.0000, 0.5000)
Os (0.0000, 0.5000, 0.0000)
Os (0.5000, 0.0000, 0.0000)

---

two | VASP calculation (PBE) on Tl2InOs after structural relaxation.

Values from the calculation:
- N(E_F) (states/eV/f.u.) = 3.219

a b c (Å): 4.4675 4.4675 8.6537
angles (deg): 90.00 90.00 90.00
Sites, in units of the cell vectors:
Tl (0.0000, 0.0000, 0.0000)
Tl (0.0000, 0.5000, 0.2500)
Tl (0.5000, 0.0000, 0.7500)
Tl (0.5000, 0.5000, 0.5000)
In (0.0000, 0.5000, 0.7500)
In (0.5000, 0.0000, 0.2500)
Os (0.0000, 0.0000, 0.5000)
Os (0.5000, 0.5000, 0.0000)

---

Which of them is most stable, and which least? Most stable: one; least stable: two.

---

one | VASP calculation (PBE) on Tl2InOs after structural relaxation.

Values from the calculation:
- N(E_F) (states/eV/f.u.) = 3.224

a b c (Å): 7.0878 7.0878 7.0878
angles (deg): 90.00 90.00 90.00
Sites, in units of the cell vectors:
Tl (0.2500, 0.2500, 0.2500)
Tl (0.2500, 0.2500, 0.7500)
Tl (0.2500, 0.7500, 0.2500)
Tl (0.2500, 0.7500, 0.7500)
Tl (0.7500, 0.2500, 0.2500)
Tl (0.7500, 0.2500, 0.7500)
Tl (0.7500, 0.7500, 0.2500)
Tl (0.7500, 0.7500, 0.7500)
In (0.0000, 0.0000, 0.0000)
In (0.0000, 0.5000, 0.5000)
In (0.5000, 0.0000, 0.5000)
In (0.5000, 0.5000, 0.0000)
Os (0.0000, 0.0000, 0.5000)
Os (0.0000, 0.5000, 0.0000)
Os (0.5000, 0.0000, 0.0000)
Os (0.5000, 0.5000, 0.5000)

---

two | VASP calculation (PBE) on Tl2InOs after structural relaxation.

Values from the calculation:
- N(E_F) (states/eV/f.u.) = 2.209

a b c (Å): 3.0887 4.6692 13.6840
angles (deg): 90.00 90.00 90.00
Sites, in units of the cell vectors:
Tl (0.0000, 0.0000, 0.0000)
Tl (0.0000, 0.5000, 0.1852)
Tl (0.5000, 0.0000, 0.6852)
Tl (0.5000, 0.5000, 0.5000)
In (0.0000, 0.5000, 0.8222)
In (0.5000, 0.0000, 0.3222)
Os (0.0000, 0.0000, 0.4936)
Os (0.5000, 0.5000, 0.9936)

---

three | VASP calculation (PBE) on Tl2InOs after structural relaxation.

Values from the calculation:
- N(E_F) (states/eV/f.u.) = 3.083

a b c (Å): 4.4156 4.4156 8.8295
angles (deg): 90.00 90.00 90.00
Sites, in units of the cell vectors:
Tl (0.0000, 0.5000, 0.2500)
Tl (0.0000, 0.5000, 0.7500)
Tl (0.5000, 0.0000, 0.2500)
Tl (0.5000, 0.0000, 0.7500)
In (0.0000, 0.0000, 0.0000)
In (0.5000, 0.5000, 0.5000)
Os (0.0000, 0.0000, 0.5000)
Os (0.5000, 0.5000, 0.0000)

---

four | VASP calculation (PBE) on Tl2InOs after structural relaxation.

Values from the calculation:
- N(E_F) (states/eV/f.u.) = 2.915

a b c (Å): 3.3576 5.2720 5.0299
angles (deg): 90.00 90.28 90.00
Sites, in units of the cell vectors:
Tl (0.2267, 0.0000, 0.2572)
Tl (0.7733, 0.0000, 0.7428)
In (0.5000, 0.5000, 0.0000)
Os (0.0000, 0.5000, 0.5000)

---

Which of them is most stable, and which least? Most stable: two; least stable: one.

---

one | VASP calculation (PBE) on Tm3InOs after structural relaxation.

Values from the calculation:
- N(E_F) (states/eV/f.u.) = 2.933

a b c (Å): 7.0681 7.0681 7.0681
angles (deg): 90.00 90.00 90.00
Sites, in units of the cell vectors:
Tm (0.0000, 0.0000, 0.0000)
Tm (0.2705, 0.2705, 0.2705)
Tm (0.2705, 0.2705, 0.7295)
Tm (0.2705, 0.7295, 0.2705)
Tm (0.2705, 0.7295, 0.7295)
Tm (0.7295, 0.2705, 0.2705)
Tm (0.7295, 0.2705, 0.7295)
Tm (0.7295, 0.7295, 0.2705)
Tm (0.7295, 0.7295, 0.7295)
In (0.0000, 0.0000, 0.5000)
In (0.0000, 0.5000, 0.0000)
In (0.5000, 0.0000, 0.0000)
Os (0.0000, 0.5000, 0.5000)
Os (0.5000, 0.0000, 0.5000)
Os (0.5000, 0.5000, 0.0000)

---

two | VASP calculation (PBE) on Tm3InOs after structural relaxation.

Values from the calculation:
- N(E_F) (states/eV/f.u.) = 2.771

a b c (Å): 9.3844 8.7281 5.7283
angles (deg): 77.92 65.43 36.65
Sites, in units of the cell vectors:
Tm (0.1978, 0.5771, 0.4229)
Tm (0.2012, 0.2012, 0.7988)
Tm (0.4229, 0.8022, 0.1978)
Tm (0.5771, 0.1978, 0.8022)
Tm (0.7988, 0.7988, 0.2012)
Tm (0.8022, 0.4229, 0.5771)
In (0.2118, 0.7882, 0.7882)
In (0.7882, 0.2118, 0.2118)
Os (0.2500, 0.2500, 0.2500)
Os (0.7500, 0.7500, 0.7500)

---

Which of them is most stable, and which least? Most stable: two; least stable: one.

---

one | VASP calculation (PBE) on TmZrInOs after structural relaxation.

Values from the calculation:
- N(E_F) (states/eV/f.u.) = 1.634

a b c (Å): 3.3016 3.3016 7.8161
angles (deg): 90.00 90.00 90.00
Sites, in units of the cell vectors:
Tm (0.0000, 0.0000, 0.0000)
Zr (0.0000, 0.0000, 0.5744)
In (0.5000, 0.5000, 0.2997)
Os (0.5000, 0.5000, 0.7725)

---

two | VASP calculation (PBE) on TmZrInOs after structural relaxation.

Values from the calculation:
- N(E_F) (states/eV/f.u.) = 1.677

a b c (Å): 6.9220 6.9220 6.9220
angles (deg): 90.00 90.00 90.00
Sites, in units of the cell vectors:
Tm (0.0000, 0.0000, 0.0000)
Tm (0.0000, 0.5000, 0.5000)
Tm (0.5000, 0.0000, 0.5000)
Tm (0.5000, 0.5000, 0.0000)
Zr (0.0000, 0.0000, 0.5000)
Zr (0.0000, 0.5000, 0.0000)
Zr (0.5000, 0.0000, 0.0000)
Zr (0.5000, 0.5000, 0.5000)
In (0.2500, 0.2500, 0.2500)
In (0.2500, 0.7500, 0.7500)
In (0.7500, 0.2500, 0.7500)
In (0.7500, 0.7500, 0.2500)
Os (0.2500, 0.2500, 0.7500)
Os (0.2500, 0.7500, 0.2500)
Os (0.7500, 0.2500, 0.2500)
Os (0.7500, 0.7500, 0.7500)

---

Which of them is most stable, and which least? Most stable: one; least stable: two.